Mn2FeCo (PBEsol, relaxed); D(E_F) = 1.08 states/eV per atom; energy of formation = 0.029 eV/atom; energy = -72.2 eV for the cell shown; energy above the lowest structure with this stoichiometry = 0.00 eV per formula unit
1.0
3.438 0.000 0.000
0.000 3.438 0.000
0.000 0.000 6.863
Mn Fe Co
4 2 2
Direct
0.000 0.500 0.250
0.000 0.500 0.750
0.500 0.000 0.250
0.500 0.000 0.750
0.000 0.000 0.000
0.500 0.500 0.500
0.000 0.000 0.500
0.500 0.500 0.000

***

LaTeAs (PBEsol, relaxed); D(E_F) = 0.59 states/eV per atom; energy = -16.4 eV for the cell shown
1.0
4.872 0.000 0.000
-2.436 4.219 0.000
0.000 0.000 3.903
La Te As
1 1 1
Direct
0.000 0.000 0.000
0.667 0.333 0.500
0.333 0.667 0.500

***

CrPbI3 (PBEsol, relaxed); D(E_F) = 0.69 states/eV per atom; energy = -19.7 eV for the cell shown
1.0
5.442 0.000 0.000
0.000 5.442 0.000
0.000 0.000 5.442
Cr Pb I
1 1 3
Direct
0.000 0.000 0.000
0.500 0.500 0.500
0.000 0.000 0.500
0.000 0.500 0.000
0.500 0.000 0.000

***

Be2HgPt2 (PBEsol, relaxed); D(E_F) = 0.34 states/eV per atom; energy of formation = -0.314 eV/atom; energy = -48.1 eV for the cell shown
1.0
3.497 0.000 0.000
0.000 3.497 0.000
0.000 0.000 11.640
Be Hg Pt
4 2 4
Direct
0.000 0.500 0.250
0.000 0.500 0.750
0.500 0.000 0.250
0.500 0.000 0.750
0.000 0.000 0.000
0.500 0.500 0.500
0.000 0.000 0.377
0.000 0.000 0.623
0.500 0.500 0.123
0.500 0.500 0.877

***

Cd2HgRh2 (PBEsol, relaxed); D(E_F) = 0.61 states/eV per atom; energy of formation = -0.021 eV/atom; energy = -38.7 eV for the cell shown
1.0
6.923 0.000 0.000
0.000 6.923 0.000
0.000 0.000 3.730
Cd Hg Rh
4 2 4
Direct
0.163 0.337 0.000
0.337 0.837 0.000
0.663 0.163 0.000
0.837 0.663 0.000
0.000 0.000 0.500
0.500 0.500 0.500
0.134 0.634 0.500
0.366 0.134 0.500
0.634 0.866 0.500
0.866 0.366 0.500

***

FeHgBr (PBEsol, relaxed); D(E_F) = 1.15 states/eV per atom; energy = -39.4 eV for the cell shown
1.0
6.381 0.000 0.000
0.000 6.381 0.000
0.000 0.000 6.381
Fe Hg Br
4 4 4
Direct
0.000 0.000 0.000
0.000 0.500 0.500
0.500 0.000 0.500
0.500 0.500 0.000
0.250 0.250 0.750
0.250 0.750 0.250
0.750 0.250 0.250
0.750 0.750 0.750
0.250 0.250 0.250
0.250 0.750 0.750
0.750 0.250 0.750
0.750 0.750 0.250

***

InGe2O2 (PBEsol, relaxed); D(E_F) = 0.42 states/eV per atom; energy = -49.8 eV for the cell shown
1.0
4.331 0.000 0.000
0.000 4.331 0.000
0.000 0.000 9.543
In Ge O
2 4 4
Direct
0.000 0.000 0.000
0.500 0.500 0.500
0.000 0.500 0.250
0.000 0.500 0.750
0.500 0.000 0.250
0.500 0.000 0.750
0.000 0.000 0.285
0.000 0.000 0.715
0.500 0.500 0.215
0.500 0.500 0.785

***

Li2MnF5 (PBEsol, relaxed); D(E_F) = 0.08 states/eV per atom; energy = -88.8 eV for the cell shown
1.0
7.421 0.000 0.000
0.000 8.313 0.000
0.000 0.000 2.964
Li Mn F
4 2 10
Direct
0.083 0.132 0.000
0.417 0.632 0.000
0.583 0.368 0.000
0.917 0.868 0.000
0.000 0.500 0.500
0.500 0.000 0.500
0.000 0.000 0.500
0.105 0.304 0.500
0.161 0.574 0.000
0.339 0.074 0.000
0.395 0.804 0.500
0.500 0.500 0.500
0.605 0.196 0.500
0.661 0.926 0.000
0.839 0.426 0.000
0.895 0.696 0.500

***

Ca2SeBr (PBEsol, relaxed); D(E_F) = 0.65 states/eV per atom; energy = -32.6 eV for the cell shown; energy above the lowest structure with this stoichiometry = 0.49 eV per formula unit
1.0
3.877 0.000 0.000
0.000 3.930 0.000
0.000 0.000 13.785
Ca Se Br
4 2 2
Direct
0.000 0.000 0.000
0.000 0.500 0.230
0.500 0.000 0.730
0.500 0.500 0.500
0.000 0.500 0.654
0.500 0.000 0.154
0.000 0.000 0.403
0.500 0.500 0.903

***

Tl2RhAu (PBEsol, relaxed); D(E_F) = 0.45 states/eV per atom; energy of formation = 0.163 eV/atom; energy = -16.7 eV for the cell shown
1.0
3.269 0.000 0.000
0.000 3.269 0.000
-0.010 0.000 7.146
Tl Rh Au
2 1 1
Direct
0.000 0.000 0.233
0.000 0.000 0.767
0.500 0.500 0.000
0.500 0.500 0.500

***

Zr2TlOs (PBEsol, relaxed); D(E_F) = 0.72 states/eV per atom; energy of formation = -0.315 eV/atom; energy = -34.3 eV for the cell shown; energy above the lowest structure with this stoichiometry = 0.00 eV per formula unit
1.0
3.156 0.000 0.000
0.000 3.156 0.000
0.000 0.000 7.929
Zr Tl Os
2 1 1
Direct
0.000 0.000 0.210
0.000 0.000 0.790
0.500 0.500 0.500
0.500 0.500 0.000

***

PmBiPd2 (PBEsol, relaxed); D(E_F) = 0.38 states/eV per atom; energy of formation = -0.716 eV/atom; energy = -96.8 eV for the cell shown
1.0
6.909 0.000 0.000
0.000 6.909 0.000
0.000 0.000 6.909
Pm Bi Pd
4 4 8
Direct
0.000 0.000 0.000
0.000 0.500 0.500
0.500 0.000 0.500
0.500 0.500 0.000
0.000 0.000 0.500
0.000 0.500 0.000
0.500 0.000 0.000
0.500 0.500 0.500
0.250 0.250 0.250
0.250 0.250 0.750
0.250 0.750 0.250
0.250 0.750 0.750
0.750 0.250 0.250
0.750 0.250 0.750
0.750 0.750 0.250
0.750 0.750 0.750